9
Lattice="3.841 0.000 0.000 1.920 5.790 0.000 1.920 0.000 5.790" Properties=species:S:1:pos:R:3 comment="Zn8Ag | Alexandria via LeMat-Bulk | SCAN | PBEsol geometry" ef_ev_per_atom=0.030 dft_energy_ev_per_fu=-139.2 mass_density_g_cm3=8.1 pbc="T T T"
Zn 1.920 3.842 1.949
Zn 1.920 0.000 1.968
Zn 1.920 1.949 3.842
Zn 3.841 0.000 3.822
Ag 0.000 0.000 0.000
Zn 1.920 1.968 0.000
Zn 3.841 1.949 1.949
Zn 3.841 3.842 3.842
Zn 3.841 3.822 0.000

---

8
Lattice="4.614 0.000 0.000 0.000 4.900 0.000 0.000 0.000 5.597" Properties=species:S:1:pos:R:3 comment="ZnAg3 | Alexandria via LeMat-Bulk | SCAN | PBEsol geometry" ef_ev_per_atom=-0.005 dft_energy_ev_per_fu=-107.6 mass_density_g_cm3=10.2 pbc="T T T"
Ag 0.000 0.818 1.398
Ag 2.307 4.081 4.197
Zn 0.000 3.285 0.000
Ag 0.000 3.228 2.799
Ag 0.000 0.818 4.199
Ag 2.307 1.672 0.000
Zn 2.307 1.615 2.799
Ag 2.307 4.081 1.401

---

5
Lattice="2.840 0.000 0.000 0.000 2.840 0.000 -1.420 -1.420 9.889" Properties=species:S:1:pos:R:3 comment="ZnAg4 | Alexandria via LeMat-Bulk | SCAN | PBEsol geometry" ef_ev_per_atom=-0.009 dft_energy_ev_per_fu=-139.0 mass_density_g_cm3=10.3 pbc="T T T"
Ag 1.420 1.420 1.855
Ag 1.420 1.420 5.965
Zn 0.000 0.000 0.000
Ag 0.000 0.000 3.923
Ag 0.000 0.000 8.034

---

16
Lattice="5.001 0.000 0.000 0.000 5.559 0.000 0.000 0.000 9.140" Properties=species:S:1:pos:R:3 comment="ZnAg3 | Alexandria via LeMat-Bulk | SCAN | PBEsol geometry" ef_ev_per_atom=-0.003 dft_energy_ev_per_fu=-107.6 mass_density_g_cm3=10.2 pbc="T T T"
Zn 0.364 4.910 6.855
Ag 1.209 0.724 4.512
Ag 2.200 4.895 2.285
Ag 1.292 3.503 4.628
Ag 0.301 2.116 6.855
Ag 3.793 4.835 4.628
Zn 2.865 3.428 6.855
Ag 3.709 2.056 0.058
Zn 2.137 2.130 2.285
Ag 3.793 4.835 9.082
Ag 4.701 3.443 2.285
Ag 2.801 0.664 6.855
Ag 1.292 3.503 9.082
Ag 1.209 0.724 0.058
Zn 4.637 0.649 2.285
Ag 3.709 2.056 4.512

---

4
Lattice="3.988 0.000 0.000 0.000 3.988 0.000 0.000 0.000 3.988" Properties=species:S:1:pos:R:3 comment="ZnAg3 | Alexandria via LeMat-Bulk | SCAN | PBEsol geometry" ef_ev_per_atom=-0.007 dft_energy_ev_per_fu=-107.6 mass_density_g_cm3=10.2 pbc="T T T"
Ag 0.000 1.994 0.000
Ag 1.994 0.000 0.000
Ag 0.000 0.000 1.994
Zn 1.994 1.994 1.994

---

7
Lattice="-2.096 0.936 2.102 -0.668 -2.969 0.656 9.012 0.984 6.244" Properties=species:S:1:pos:R:3 comment="Zn4Ag3 | Alexandria via LeMat-Bulk | SCAN | PBEsol geometry" ef_ev_per_atom=-0.008 dft_energy_ev_per_fu=-148.2 mass_density_g_cm3=9.3 pbc="T T T"
Ag 0.000 0.000 0.000
Zn -0.280 -1.021 2.480
Ag 4.452 -0.019 4.448
Zn 6.528 -0.028 6.522
Zn 2.115 -0.009 2.113
Ag 1.796 -1.030 4.554
Zn 4.133 -1.040 6.889

---

8
Lattice="-0.465 3.491 -4.459 -4.705 3.109 -0.695 0.174 5.627 0.767" Properties=species:S:1:pos:R:3 comment="ZnAg7 | Alexandria via LeMat-Bulk | SCAN | PBEsol geometry" ef_ev_per_atom=0.003 dft_energy_ev_per_fu=-233.1 mass_density_g_cm3=10.5 pbc="T T T"
Ag -2.498 6.114 -2.193
Ag -2.585 3.300 -2.577
Ag -2.265 4.368 0.036
Ag -2.352 1.555 -0.348
Ag -0.146 4.559 -1.846
Zn 0.000 0.000 0.000
Ag 0.087 2.814 0.384
Ag -0.233 1.746 -2.229

---

8
Lattice="3.971 0.000 0.000 0.000 3.971 0.000 -1.986 -1.986 8.042" Properties=species:S:1:pos:R:3 comment="ZnAg3 | Alexandria via LeMat-Bulk | SCAN | PBEsol geometry" ef_ev_per_atom=-0.011 dft_energy_ev_per_fu=-107.7 mass_density_g_cm3=10.2 pbc="T T T"
Ag 0.000 0.000 1.989
Ag 0.000 1.986 4.021
Ag 0.000 1.986 0.000
Zn 1.986 1.986 2.041
Ag 1.986 0.000 4.021
Ag 1.986 0.000 0.000
Zn 0.000 0.000 6.001
Ag 1.986 1.986 6.053

---

18
Lattice="-2.267 -3.962 -2.862 4.224 1.966 -6.066 2.656 -5.136 5.007" Properties=species:S:1:pos:R:3 comment="Zn5Ag4 | Alexandria via LeMat-Bulk | SCAN | PBEsol geometry" ef_ev_per_atom=0.014 dft_energy_ev_per_fu=-192.9 mass_density_g_cm3=9.2 pbc="T T T"
Ag -1.133 -1.981 -1.431
Zn 0.730 -0.387 -2.577
Zn 2.045 -4.750 -0.115
Zn 0.248 -2.567 0.821
Ag 1.928 -2.140 -1.100
Zn 2.568 -2.382 -3.806
Zn 4.201 -3.188 -1.450
Ag 2.125 0.262 -4.582
Ag 2.684 -4.992 -2.822
Zn 3.701 -0.402 -2.375
Ag -0.168 -2.258 -4.347
Zn 0.412 -3.945 -2.472
Zn 3.178 -2.769 1.316
Ag 1.126 -4.264 2.475
Zn 0.141 -6.531 1.323
Ag -0.737 -4.834 -0.331
Zn 1.227 -1.609 -6.351
Ag 0.000 0.000 0.000

---

4
Lattice="-0.554 1.593 3.443 1.951 -2.865 1.639 2.799 2.775 -2.967" Properties=species:S:1:pos:R:3 comment="ZnAg | Alexandria via LeMat-Bulk | SCAN | PBEsol geometry" ef_ev_per_atom=-0.024 dft_energy_ev_per_fu=-44.9 mass_density_g_cm3=9.5 pbc="T T T"
Ag 0.000 0.000 0.000
Ag 2.725 -0.363 0.606
Zn 0.698 -0.636 2.541
Zn 1.472 1.866 1.509

---

9
Lattice="3.979 0.000 0.000 1.990 6.057 0.000 1.990 0.000 6.057" Properties=species:S:1:pos:R:3 comment="ZnAg8 | Alexandria via LeMat-Bulk | SCAN | PBEsol geometry" ef_ev_per_atom=0.000 dft_energy_ev_per_fu=-264.5 mass_density_g_cm3=10.6 pbc="T T T"
Ag 3.979 0.000 4.069
Ag 1.990 0.000 1.987
Ag 3.979 2.008 2.008
Ag 1.990 1.987 0.000
Ag 1.990 2.008 4.049
Ag 3.979 4.049 4.049
Ag 3.979 4.069 0.000
Ag 1.990 4.049 2.008
Zn 0.000 0.000 0.000

---

6
Lattice="2.821 0.000 0.000 0.000 4.300 0.000 0.000 0.000 7.783" Properties=species:S:1:pos:R:3 comment="ZnAg2 | Alexandria via LeMat-Bulk | SCAN | PBEsol geometry" ef_ev_per_atom=0.002 dft_energy_ev_per_fu=-76.2 mass_density_g_cm3=9.9 pbc="T T T"
Ag 0.551 0.000 2.607
Zn 1.411 2.150 3.891
Ag 1.962 2.150 1.285
Ag 2.270 0.000 5.176
Zn 0.000 0.000 0.000
Ag 0.859 2.150 6.498

---

12
Lattice="4.263 0.000 0.000 0.000 5.454 0.000 0.000 0.000 8.036" Properties=species:S:1:pos:R:3 comment="ZnAg2 | Alexandria via LeMat-Bulk | SCAN | PBEsol geometry" ef_ev_per_atom=-0.015 dft_energy_ev_per_fu=-76.3 mass_density_g_cm3=10.0 pbc="T T T"
Ag 1.066 0.308 1.793
Ag 1.066 3.642 7.505
Ag 1.066 0.915 4.549
Ag 1.066 3.035 2.225
Ag 3.197 2.419 5.811
Zn 1.066 3.697 4.847
Ag 3.197 4.538 3.487
Ag 3.197 1.811 0.531
Ag 3.197 5.146 6.243
Zn 3.197 1.757 3.190
Zn 1.066 0.970 7.208
Zn 3.197 4.484 0.828

---

2
Lattice="3.112 0.000 0.000 0.000 3.112 0.000 0.000 0.000 3.112" Properties=species:S:1:pos:R:3 comment="ZnAg | Alexandria via LeMat-Bulk | SCAN | PBEsol geometry" ef_ev_per_atom=-0.021 dft_energy_ev_per_fu=-44.9 mass_density_g_cm3=9.5 pbc="T T T"
Zn 1.556 1.556 1.556
Ag 0.000 0.000 0.000

---

6
Lattice="2.848 0.000 0.000 -1.424 5.144 -0.017 0.000 -1.655 6.416" Properties=species:S:1:pos:R:3 comment="ZnAg2 | Alexandria via LeMat-Bulk | SCAN | PBEsol geometry" ef_ev_per_atom=-0.009 dft_energy_ev_per_fu=-76.3 mass_density_g_cm3=9.9 pbc="T T T"
Ag 1.424 1.116 2.190
Ag 0.000 3.517 1.726
Ag 0.000 2.296 4.320
Zn 0.000 -0.480 3.892
Zn 1.424 0.749 6.049
Ag 0.000 -1.538 6.376

---

5
Lattice="-2.010 1.002 1.717 -0.283 -1.051 2.609 6.206 7.490 5.220" Properties=species:S:1:pos:R:3 comment="Zn3Ag2 | Alexandria via LeMat-Bulk | SCAN | PBEsol geometry" ef_ev_per_atom=0.003 dft_energy_ev_per_fu=-103.3 mass_density_g_cm3=9.1 pbc="T T T"
Zn 0.000 0.000 0.000
Ag 4.037 5.961 5.901
Zn 1.866 4.430 6.581
Zn 2.047 3.011 2.966
Ag -0.124 1.480 3.645

---

8
Lattice="-4.121 0.008 -1.202 2.584 -3.205 -1.215 -1.948 -4.094 6.653" Properties=species:S:1:pos:R:3 comment="ZnAg | Alexandria via LeMat-Bulk | SCAN | PBEsol geometry" ef_ev_per_atom=0.066 dft_energy_ev_per_fu=-44.7 mass_density_g_cm3=9.0 pbc="T T T"
Zn -0.487 -1.023 1.663
Ag -3.019 -3.443 2.663
Ag -0.466 -3.847 1.574
Ag -3.675 -4.823 4.905
Zn -1.461 -3.070 4.990
Zn -1.112 -5.204 3.779
Zn -2.373 -2.086 0.457
Ag 0.190 -2.467 -0.669

---

6
Lattice="4.437 0.000 0.000 -2.219 3.843 0.000 0.000 0.000 5.516" Properties=species:S:1:pos:R:3 comment="ZnAg2 | Alexandria via LeMat-Bulk | SCAN | PBEsol geometry" ef_ev_per_atom=0.003 dft_energy_ev_per_fu=-76.2 mass_density_g_cm3=9.9 pbc="T T T"
Zn 0.000 2.562 4.137
Ag 0.000 0.000 2.758
Ag 0.000 0.000 0.000
Ag 0.000 2.562 1.379
Ag 2.219 1.281 4.137
Zn 2.219 1.281 1.379

---

4
Lattice="-0.272 1.779 2.254 -3.856 -0.001 -0.464 -0.417 -4.459 3.469" Properties=species:S:1:pos:R:3 comment="ZnAg3 | Alexandria via LeMat-Bulk | SCAN | PBEsol geometry" ef_ev_per_atom=-0.003 dft_energy_ev_per_fu=-107.6 mass_density_g_cm3=10.2 pbc="T T T"
Ag -0.316 -3.378 2.628
Ag -0.101 -1.081 0.841
Zn -2.064 0.889 0.895
Ag -2.273 -1.340 2.629

---

4
Lattice="2.895 0.000 0.000 0.000 4.789 0.000 -1.448 -2.395 4.570" Properties=species:S:1:pos:R:3 comment="ZnAg3 | Alexandria via LeMat-Bulk | SCAN | PBEsol geometry" ef_ev_per_atom=-0.007 dft_energy_ev_per_fu=-107.6 mass_density_g_cm3=10.2 pbc="T T T"
Ag 0.000 -0.074 2.368
Zn 0.000 1.645 0.000
Ag 1.448 2.321 2.202
Ag 1.448 4.090 0.000